Here is a relaxed structure of Tl2Zn2Ga from Alexandria. Energies are from GGA-PBE.

## Properties
ΔE to the lowest computed polymorph	38	meV per atom

Structure (CIF):
```
data_Tl2Zn2Ga
_chemical_formula_sum 'Tl4 Zn4 Ga2'
_cell_length_a 3.590
_cell_length_b 3.590
_cell_length_c 18.534
_cell_angle_alpha 90.00
_cell_angle_beta 90.00
_cell_angle_gamma 90.00
_space_group_name_H-M_alt 'I 4/m m m'
_space_group_IT_number 139
_space_group_name_Hall '-I 4 2'
loop_
_atom_site_label
_atom_site_type_symbol
_atom_site_fract_x
_atom_site_fract_y
_atom_site_fract_z
_atom_site_occupancy
Tl1 Tl 0.000 0.000 0.105 1
Zn1 Zn 0.000 0.500 0.250 1
Ga1 Ga 0.000 0.000 0.500 1
```



Here is a relaxed structure of Tb2PrAl2 from Alexandria. Energies are from GGA-PBE.

## Properties
ΔE to the lowest computed polymorph	124	meV per atom

Structure (CIF):
```
data_Tb2PrAl2
_chemical_formula_sum 'Tb4 Pr2 Al4'
_cell_length_a 5.662
_cell_length_b 3.776
_cell_length_c 13.336
_cell_angle_alpha 90.00
_cell_angle_beta 96.50
_cell_angle_gamma 90.00
_space_group_name_H-M_alt 'P 1 21/m 1'
_space_group_IT_number 11
_space_group_name_Hall '-P 2yb'
loop_
_atom_site_label
_atom_site_type_symbol
_atom_site_fract_x
_atom_site_fract_y
_atom_site_fract_z
_atom_site_occupancy
Tb1 Tb 0.149 0.250 0.110 1
Tb2 Tb 0.260 0.750 0.537 1
Pr1 Pr 0.319 0.250 0.767 1
Al1 Al 0.207 0.250 0.343 1
Al2 Al 0.357 0.750 0.963 1
```



Here is a relaxed structure of TaTe2Mo from Alexandria. Energies are from GGA-PBE.

## Properties
ΔE to the lowest computed polymorph	887	meV per atom

Structure (CIF):
```
data_TaTe2Mo
_chemical_formula_sum 'Ta1 Te2 Mo1'
_cell_length_a 3.644
_cell_length_b 4.588
_cell_length_c 5.111
_cell_angle_alpha 90.00
_cell_angle_beta 96.88
_cell_angle_gamma 90.00
_space_group_name_H-M_alt 'P 1 2/m 1'
_space_group_IT_number 10
_space_group_name_Hall '-P 2y'
loop_
_atom_site_label
_atom_site_type_symbol
_atom_site_fract_x
_atom_site_fract_y
_atom_site_fract_z
_atom_site_occupancy
Ta1 Ta 0.000 0.000 0.000 1
Te1 Te 0.261 0.500 0.747 1
Mo1 Mo 0.500 0.000 0.500 1
```



Here is a relaxed structure of LiHo3Ni8 from Alexandria. Energies are from GGA-PBE.

## Properties
final energy	-5.57	eV/atom

Structure (CIF):
```
data_LiHo3Ni8
_chemical_formula_sum 'Li3 Ho9 Ni24'
_cell_length_a 4.9758
_cell_length_b 4.9758
_cell_length_c 24.3848
_cell_angle_alpha 90.00
_cell_angle_beta 90.00
_cell_angle_gamma 120.00
_space_group_name_H-M_alt 'R 3 m'
_space_group_IT_number 160
_space_group_name_Hall 'R 3 -2"'
loop_
_atom_site_label
_atom_site_type_symbol
_atom_site_fract_x
_atom_site_fract_y
_atom_site_fract_z
_atom_site_occupancy
Li1 Li 0.0000 0.0000 0.0000 1
Ho1 Ho 0.0000 0.0000 0.3635 1
Ho2 Ho 0.0000 0.0000 0.4926 1
Ho3 Ho 0.0000 0.0000 0.8789 1
Ni1 Ni 0.0000 0.0000 0.1825 1
Ni2 Ni 0.0000 0.0000 0.6820 1
Ni3 Ni 0.0007 0.5004 0.4320 1
Ni4 Ni 0.1686 0.3373 0.2660 1
```



Here is a relaxed structure of Cs2Mn2Pd from Alexandria. Energies are from GGA-PBE.

## Properties
final energy	-4.17	eV/atom

Structure (CIF):
```
data_Cs2Mn2Pd
_chemical_formula_sum 'Cs4 Mn4 Pd2'
_cell_length_a 7.189
_cell_length_b 7.189
_cell_length_c 7.612
_cell_angle_alpha 90.00
_cell_angle_beta 90.00
_cell_angle_gamma 90.00
_space_group_name_H-M_alt 'I 4/m m m'
_space_group_IT_number 139
_space_group_name_Hall '-I 4 2'
loop_
_atom_site_label
_atom_site_type_symbol
_atom_site_fract_x
_atom_site_fract_y
_atom_site_fract_z
_atom_site_occupancy
Cs1 Cs 0.000 0.500 0.250 1
Mn1 Mn 0.000 0.000 0.170 1
Pd1 Pd 0.000 0.000 0.500 1
```



Here is a relaxed structure of Na2TlAs from Alexandria. Energies are from GGA-PBE.

## Properties
final energy	-2.57	eV/atom

Structure (CIF):
```
data_Na2TlAs
_chemical_formula_sum 'Na2 Tl1 As1'
_cell_length_a 3.257
_cell_length_b 3.257
_cell_length_c 9.543
_cell_angle_alpha 90.00
_cell_angle_beta 90.00
_cell_angle_gamma 90.00
_space_group_name_H-M_alt 'P 4/m m m'
_space_group_IT_number 123
_space_group_name_Hall '-P 4 2'
loop_
_atom_site_label
_atom_site_type_symbol
_atom_site_fract_x
_atom_site_fract_y
_atom_site_fract_z
_atom_site_occupancy
Na1 Na 0.000 0.000 0.207 1
Tl1 Tl 0.500 0.500 0.500 1
As1 As 0.500 0.500 0.000 1
```



Here is a relaxed structure of Zn2Pd2Ru from Alexandria. Energies are from GGA-PBE.

## Properties
final energy	-4.53	eV/atom

Structure (CIF):
```
data_Zn2Pd2Ru
_chemical_formula_sum 'Zn4 Pd4 Ru2'
_cell_length_a 7.223
_cell_length_b 7.223
_cell_length_c 2.810
_cell_angle_alpha 90.00
_cell_angle_beta 90.00
_cell_angle_gamma 90.00
_space_group_name_H-M_alt 'P 4/m b m'
_space_group_IT_number 127
_space_group_name_Hall '-P 4 2ab'
loop_
_atom_site_label
_atom_site_type_symbol
_atom_site_fract_x
_atom_site_fract_y
_atom_site_fract_z
_atom_site_occupancy
Zn1 Zn 0.131 0.369 0.000 1
Pd1 Pd 0.168 0.668 0.500 1
Ru1 Ru 0.000 0.000 0.000 1
```



Here is a relaxed structure of POsRu2 from Alexandria. Energies are from GGA-PBE.

## Properties
final energy	-8.83	eV/atom

Structure (CIF):
```
data_POsRu2
_chemical_formula_sum 'P1 Os1 Ru2'
_cell_length_a 2.838
_cell_length_b 2.838
_cell_length_c 6.653
_cell_angle_alpha 90.00
_cell_angle_beta 90.00
_cell_angle_gamma 90.00
_space_group_name_H-M_alt 'P 4 m m'
_space_group_IT_number 99
_space_group_name_Hall 'P 4 -2'
loop_
_atom_site_label
_atom_site_type_symbol
_atom_site_fract_x
_atom_site_fract_y
_atom_site_fract_z
_atom_site_occupancy
P1 P 0.000 0.000 0.000 1
Os1 Os 0.500 0.500 0.777 1
Ru1 Ru 0.000 0.000 0.499 1
Ru2 Ru 0.500 0.500 0.204 1
```



Here is a relaxed structure of SiPb3F from Alexandria. Energies are from GGA-PBE.

## Properties
ΔE to the lowest computed polymorph	0	meV per atom

Structure (CIF):
```
data_SiPb3F
_chemical_formula_sum 'Si1 Pb3 F1'
_cell_length_a 5.105
_cell_length_b 5.105
_cell_length_c 5.105
_cell_angle_alpha 90.00
_cell_angle_beta 90.00
_cell_angle_gamma 90.00
_space_group_name_H-M_alt 'P m -3 m'
_space_group_IT_number 221
_space_group_name_Hall '-P 4 2 3'
loop_
_atom_site_label
_atom_site_type_symbol
_atom_site_fract_x
_atom_site_fract_y
_atom_site_fract_z
_atom_site_occupancy
Si1 Si 0.000 0.000 0.000 1
Pb1 Pb 0.000 0.500 0.500 1
F1 F 0.500 0.500 0.500 1
```



Here is a relaxed structure of Rb2ZrP2 from Alexandria. Energies are from GGA-PBE.

## Properties
ΔE to the lowest computed polymorph	0	meV per atom

Structure (CIF):
```
data_Rb2ZrP2
_chemical_formula_sum 'Rb4 Zr2 P4'
_cell_length_a 9.518
_cell_length_b 9.518
_cell_length_c 3.025
_cell_angle_alpha 90.00
_cell_angle_beta 90.00
_cell_angle_gamma 90.00
_space_group_name_H-M_alt 'P 4/m b m'
_space_group_IT_number 127
_space_group_name_Hall '-P 4 2ab'
loop_
_atom_site_label
_atom_site_type_symbol
_atom_site_fract_x
_atom_site_fract_y
_atom_site_fract_z
_atom_site_occupancy
Rb1 Rb 0.114 0.386 0.000 1
Zr1 Zr 0.000 0.000 0.000 1
P1 P 0.185 0.685 0.500 1
```



Here is a relaxed structure of ReNiOs2 from Alexandria. Energies are from GGA-PBE.

## Properties
ΔE to the lowest computed polymorph	50	meV per atom

Structure (CIF):
```
data_ReNiOs2
_chemical_formula_sum 'Re2 Ni2 Os4'
_cell_length_a 3.774
_cell_length_b 3.774
_cell_length_c 7.735
_cell_angle_alpha 90.00
_cell_angle_beta 90.00
_cell_angle_gamma 90.00
_space_group_name_H-M_alt 'I -4 m 2'
_space_group_IT_number 119
_space_group_name_Hall 'I -4 -2'
loop_
_atom_site_label
_atom_site_type_symbol
_atom_site_fract_x
_atom_site_fract_y
_atom_site_fract_z
_atom_site_occupancy
Re1 Re 0.000 0.000 0.000 1
Ni1 Ni 0.000 0.500 0.750 1
Os1 Os 0.000 0.000 0.500 1
Os2 Os 0.000 0.500 0.250 1
```



Here is a relaxed structure of AsN from Alexandria. Energies are from GGA-PBE.

## Properties
ΔE to the lowest computed polymorph	366	meV per atom

Structure (CIF):
```
data_AsN
_chemical_formula_sum 'As8 N8'
_cell_length_a 10.207
_cell_length_b 10.207
_cell_length_c 2.946
_cell_angle_alpha 90.00
_cell_angle_beta 90.00
_cell_angle_gamma 90.00
_space_group_name_H-M_alt 'I 4/m'
_space_group_IT_number 87
_space_group_name_Hall '-I 4'
loop_
_atom_site_label
_atom_site_type_symbol
_atom_site_fract_x
_atom_site_fract_y
_atom_site_fract_z
_atom_site_occupancy
As1 As 0.056 0.293 0.000 1
N1 N 0.120 0.632 0.000 1
```



Magnetization (computed, μB/atom): 0.00 0.00 0.00 0.00 1.77 0.00 0.00 0.00 0.00 0.16 0.00 0.00